9
Lattice="4.598 0.000 0.000 -2.299 3.982 0.000 0.000 0.000 6.010" Properties=species:S:1:pos:R:3 comment="RbCuSiH6, optimized geometry, DFT GGA-PBE" total_magnetization_mub_per_cell=0.00 total_energy_ev_per_atom=-3.32 mass_density_g_cm3=2.764 pbc="T T T"
Rb 0.000 0.000 0.000
Cu 0.000 2.655 3.005
Si 2.299 1.327 3.005
H 1.679 0.132 3.937
H 0.954 1.388 2.072
H 2.919 0.132 2.072
H 1.574 2.462 3.937
H 3.644 1.388 3.937
H 3.024 2.462 2.072